[1]
VASP calculation (PBE-GGA) on a geometry-optimized LaHfI2 structure.

abc: 5.187 5.187 20.305
angles: 90.00 90.00 90.00
Space group I-42d (No. 122)
Inequivalent atoms, fractional coordinates:
La 0.000 0.000 0.000
Hf 0.000 0.000 0.500
I 0.230 0.250 0.625

Properties
Spin magnetization, μB/f.u.: 0.00
Energy above the lowest structure with this stoichiometry, eV per formula unit: 0.52

[2]
VASP calculation (PBE-GGA) on a geometry-optimized La2HfI structure.

abc: 3.5712 3.5712 34.3166
angles: 90.00 90.00 120.00
Space group R-3m (No. 166, hexagonal axes)
Inequivalent atoms, fractional coordinates:
La 0.0000 0.0000 0.0895
Hf 0.0000 0.0000 0.0000
I 0.0000 0.0000 0.5000

Properties
Spin magnetization, μB/f.u.: 0.90
Energy above the lowest structure with this stoichiometry, eV per formula unit: 0.00

[3]
VASP calculation (PBE-GGA) on a geometry-optimized LaHfI2 structure.

abc: 7.627 7.627 7.627
angles: 90.00 90.00 90.00
Space group Fm-3m (No. 225)
Inequivalent atoms, fractional coordinates:
La 0.000 0.000 0.000
Hf 0.000 0.000 0.500
I 0.250 0.250 0.250

Properties
Spin magnetization, μB/f.u.: 0.00
Energy above the lowest structure with this stoichiometry, eV per formula unit: 0.00

[4]
VASP calculation (PBE-GGA) on a geometry-optimized LaHfI3 structure.

abc: 5.585 5.585 5.585
angles: 90.00 90.00 90.00
Space group Pm-3m (No. 221)
Inequivalent atoms, fractional coordinates:
La 0.000 0.000 0.000
Hf 0.500 0.500 0.500
I 0.000 0.500 0.500

Properties
Spin magnetization, μB/f.u.: 0.00
Energy above the lowest structure with this stoichiometry, eV per formula unit: 0.00

[5]
VASP calculation (PBE-GGA) on a geometry-optimized La3HfI structure.

abc: 5.870 5.870 5.870
angles: 90.00 90.00 90.00
Space group Pm-3m (No. 221)
Inequivalent atoms, fractional coordinates:
La 0.000 0.000 0.500
Hf 0.500 0.500 0.500
I 0.000 0.000 0.000

Properties
Spin magnetization, μB/f.u.: 0.78
Energy above the lowest structure with this stoichiometry, eV per formula unit: 0.73

[6]
VASP calculation (PBE-GGA) on a geometry-optimized LaHfI3 structure.

abc: 6.262 6.262 6.262
angles: 90.00 90.00 90.00
Space group Pm-3m (No. 221)
Inequivalent atoms, fractional coordinates:
La 0.000 0.000 0.000
Hf 0.500 0.500 0.500
I 0.000 0.000 0.500

Properties
Spin magnetization, μB/f.u.: 1.94
Energy above the lowest structure with this stoichiometry, eV per formula unit: 0.89

[7]
VASP calculation (PBE-GGA) on a geometry-optimized La2HfI structure.

abc: 7.936 7.936 7.936
angles: 90.00 90.00 90.00
Space group Fm-3m (No. 225)
Inequivalent atoms, fractional coordinates:
La 0.250 0.250 0.250
Hf 0.000 0.000 0.000
I 0.000 0.000 0.500

Properties
Spin magnetization, μB/f.u.: 2.36
Energy above the lowest structure with this stoichiometry, eV per formula unit: 0.39

[8]
VASP calculation (PBE-GGA) on a geometry-optimized La2HfI structure.

abc: 8.705 8.705 6.694
angles: 90.00 90.00 90.00
Space group I-42d (No. 122)
Inequivalent atoms, fractional coordinates:
La 0.250 0.250 0.125
Hf 0.000 0.000 0.000
I 0.000 0.000 0.500

Properties
Spin magnetization, μB/f.u.: 0.00
Energy above the lowest structure with this stoichiometry, eV per formula unit: 0.66

[9]
VASP calculation (PBE-GGA) on a geometry-optimized LaHfI2O structure.

abc: 5.977 5.977 3.950
angles: 90.00 90.00 90.00
Space group P4/mmm (No. 123)
Inequivalent atoms, fractional coordinates:
La 0.000 0.000 0.000
Hf 0.500 0.500 0.500
I 0.000 0.500 0.500
O 0.500 0.500 0.000

Properties
Spin magnetization, μB/f.u.: 0.01
Energy above the lowest structure with this stoichiometry, eV per formula unit: 0.00

[10]
VASP calculation (PBE-GGA) on a geometry-optimized LaHfIO2 structure.

abc: 4.242 4.242 5.894
angles: 90.00 90.00 90.00
Space group P4/mmm (No. 123)
Inequivalent atoms, fractional coordinates:
La 0.000 0.000 0.000
Hf 0.500 0.500 0.500
I 0.500 0.500 0.000
O 0.000 0.500 0.500

Properties
Spin magnetization, μB/f.u.: 0.00
Energy above the lowest structure with this stoichiometry, eV per formula unit: 0.00

[11]
VASP calculation (PBE-GGA) on a geometry-optimized LaHfIO2 structure.

abc: 4.448 4.448 6.519
angles: 90.00 90.00 90.00
Space group P4/mmm (No. 123)
Inequivalent atoms, fractional coordinates:
La 0.000 0.000 0.000
Hf 0.500 0.500 0.500
I 0.000 0.000 0.500
O 0.000 0.500 0.000

Properties
Spin magnetization, μB/f.u.: 1.82
Energy above the lowest structure with this stoichiometry, eV per formula unit: 4.90

[12]
VASP calculation (PBE-GGA) on a geometry-optimized LaHfI2O structure.

abc: 6.513 6.513 4.232
angles: 90.00 90.00 90.00
Space group P4/mmm (No. 123)
Inequivalent atoms, fractional coordinates:
La 0.000 0.000 0.000
Hf 0.500 0.500 0.500
I 0.000 0.500 0.000
O 0.000 0.000 0.500

Properties
Spin magnetization, μB/f.u.: 1.67
Energy above the lowest structure with this stoichiometry, eV per formula unit: 2.59

[13]
VASP calculation (PBE-GGA) on a geometry-optimized Rb2LaHfI6 structure.

abc: 12.105 12.105 12.105
angles: 90.00 90.00 90.00
Space group Fm-3m (No. 225)
Inequivalent atoms, fractional coordinates:
Rb 0.250 0.250 0.250
La 0.000 0.000 0.000
Hf 0.000 0.000 0.500
I 0.000 0.000 0.261

Properties
Spin magnetization, μB/f.u.: 1.97

[14]
VASP calculation (PBE-GGA) on a geometry-optimized LaHfSb2I structure.

abc: 6.036 6.036 5.921
angles: 90.00 90.00 90.00
Space group P4/mmm (No. 123)
Inequivalent atoms, fractional coordinates:
La 0.000 0.000 0.000
Hf 0.500 0.500 0.500
Sb 0.000 0.500 0.000
I 0.000 0.000 0.500

Properties
Spin magnetization, μB/f.u.: 1.06
Energy above the lowest structure with this stoichiometry, eV per formula unit: 5.26

[15]
VASP calculation (PBE-GGA) on a geometry-optimized LaHfSb2I structure.

abc: 5.551 5.551 5.503
angles: 90.00 90.00 90.00
Space group P4/mmm (No. 123)
Inequivalent atoms, fractional coordinates:
La 0.000 0.000 0.000
Hf 0.500 0.500 0.500
Sb 0.000 0.500 0.500
I 0.500 0.500 0.000

Properties
Spin magnetization, μB/f.u.: 0.21
Energy above the lowest structure with this stoichiometry, eV per formula unit: 0.00

[16]
VASP calculation (PBE-GGA) on a geometry-optimized LaHfSnI2 structure.

abc: 5.438 5.438 5.665
angles: 90.00 90.00 90.00
Space group P4/mmm (No. 123)
Inequivalent atoms, fractional coordinates:
La 0.000 0.000 0.000
Hf 0.500 0.500 0.500
Sn 0.500 0.500 0.000
I 0.000 0.500 0.500

Properties
Spin magnetization, μB/f.u.: 0.00

[17]
VASP calculation (PBE-GGA) on a geometry-optimized Sr2LaHfI structure.

abc: 6.517 6.517 5.903
angles: 90.00 90.00 90.00
Space group P4/mmm (No. 123)
Inequivalent atoms, fractional coordinates:
Sr 0.000 0.500 0.000
La 0.000 0.000 0.000
Hf 0.500 0.500 0.500
I 0.000 0.000 0.500

Properties
Spin magnetization, μB/f.u.: 0.03

[18]
VASP calculation (PBE-GGA) on a geometry-optimized LaHf2TaI structure.

abc: 5.121 5.121 5.830
angles: 90.00 90.00 90.00
Space group P4/mmm (No. 123)
Inequivalent atoms, fractional coordinates:
La 0.000 0.000 0.000
Hf 0.000 0.500 0.500
Ta 0.500 0.500 0.500
I 0.500 0.500 0.000

Properties
Spin magnetization, μB/f.u.: 0.00

[19]
VASP calculation (PBE-GGA) on a geometry-optimized LaHfTc2I structure.

abc: 4.854 4.854 5.581
angles: 90.00 90.00 90.00
Space group P4/mmm (No. 123)
Inequivalent atoms, fractional coordinates:
La 0.000 0.000 0.000
Hf 0.000 0.000 0.500
Tc 0.000 0.500 0.000
I 0.500 0.500 0.500

Properties
Spin magnetization, μB/f.u.: 2.64

[20]
VASP calculation (PBE-GGA) on a geometry-optimized LaHfTe2I structure.

abc: 5.575 5.575 5.497
angles: 90.00 90.00 90.00
Space group P4/mmm (No. 123)
Inequivalent atoms, fractional coordinates:
La 0.000 0.000 0.000
Hf 0.500 0.500 0.500
Te 0.000 0.500 0.500
I 0.500 0.500 0.000

Properties
Spin magnetization, μB/f.u.: 0.46
Energy above the lowest structure with this stoichiometry, eV per formula unit: 0.00

Energy, respectively: -4.59, -5.27, -4.72, -4.01, -4.83, -3.83, -5.17, -5.11, -5.78, -7.02, -6.04, -5.26, -3.62, -4.20, -5.25, -4.51, -2.88, -6.82, -5.54, -5.09 eV/atom.
Energy relative to the elements, uncorrected, respectively: -96.5, 68.9, -226.6, -104.6, 430.2, 73.8, 165.5, 234.0, -1189.4, -1748.3, -769.3, -671.2, -1006.5, 737.8, -314.8, -118.0, 1081.6, 823.1, 1896.5, -542.4 meV per atom.
DOS(E_F), respectively: 4.75, 4.84, 2.85, 9.73, 8.17, 16.20, 5.97, 5.53, 6.31, 2.80, 6.45, 5.81, 6.61, 5.07, 4.31, 3.72, 11.86, 7.53, 6.89, 5.77 states/eV/f.u..